The following is a PBE calculation of crystalline MgPbCl2 at its relaxed geometry, from the Alexandria database.

Cell lengths 3.5277, 3.5277, 36.9077 Å; angles 90.00, 90.00, 120.00 degrees
Space group R-3m (No. 166, hexagonal axes)
Inequivalent atoms, fractional coordinates:
1 Mg 0.0000 0.0000 0.0000 (multiplicity 3)
2 Pb 0.0000 0.0000 0.5000 (multiplicity 3)
3 Cl 0.0000 0.0000 0.2947 (multiplicity 6)

Results
ΔE_f (raw): -1.246 eV per atom
Distance to the lowest polymorph of the same formula: 0.000 eV/f.u.

The following is a PBE calculation of crystalline MgPbCl2 at its relaxed geometry, from the Alexandria database.

Cell lengths 3.4766, 5.0424, 13.5013 Å; angles 90.00, 90.00, 90.00 degrees
Space group Imm2 (No. 44)
Inequivalent atoms, fractional coordinates:
1 Mg 0.0000 0.0000 0.0000 (multiplicity 2)
2 Pb 0.0000 0.5000 0.6932 (multiplicity 2)
3 Cl 0.0000 0.0000 0.5791 (multiplicity 2)
4 Cl 0.0000 0.5000 0.3753 (multiplicity 2)

Results
ΔE_f (raw): -0.888 eV per atom
Distance to the lowest polymorph of the same formula: 1.430 eV/f.u.

The following is a PBE calculation of crystalline MgPbCl2 at its relaxed geometry, from the Alexandria database.

Cell lengths 4.6038, 3.5600, 6.1936 Å; angles 90.00, 90.51, 90.00 degrees
Space group P2/m (No. 10)
Inequivalent atoms, fractional coordinates:
1 Mg 0.0000 0.0000 0.0000 (multiplicity 1)
2 Pb 0.0000 0.5000 0.5000 (multiplicity 1)
3 Cl 0.5000 0.0000 0.5000 (multiplicity 1)
4 Cl 0.5000 0.5000 0.0000 (multiplicity 1)

Results
ΔE_f (raw): -0.686 eV per atom
Distance to the lowest polymorph of the same formula: 2.239 eV/f.u.

The following is a PBE calculation of crystalline MgPbCl2 at its relaxed geometry, from the Alexandria database.

Cell lengths 3.5344, 3.5371, 11.4587 Å; angles 90.00, 96.40, 90.00 degrees
Space group Pm (No. 6)
Inequivalent atoms, fractional coordinates:
1 Mg 0.0000 0.0000 0.0000 (multiplicity 1)
2 Pb 0.3259 0.5000 0.4965 (multiplicity 1)
3 Cl 0.0430 0.5000 0.1334 (multiplicity 1)
4 Cl 0.4516 0.0000 0.8665 (multiplicity 1)

Results
ΔE_f (raw): -1.063 eV per atom
Distance to the lowest polymorph of the same formula: 0.733 eV/f.u.

The following is a PBE calculation of crystalline MgPbCl2 at its relaxed geometry, from the Alexandria database.

Cell lengths 7.4398, 7.4398, 7.4398 Å; angles 90.00, 90.00, 90.00 degrees
Space group Fm-3m (No. 225)
Inequivalent atoms, fractional coordinates:
1 Mg 0.0000 0.0000 0.0000 (multiplicity 4)
2 Pb 0.0000 0.0000 0.5000 (multiplicity 4)
3 Cl 0.2500 0.2500 0.2500 (multiplicity 8)

Results
ΔE_f (raw): -0.518 eV per atom
Distance to the lowest polymorph of the same formula: 2.910 eV/f.u.

The following is a PBE calculation of crystalline MgPb2Cl at its relaxed geometry, from the Alexandria database.

Cell lengths 4.7604, 4.7604, 9.7957 Å; angles 90.00, 90.00, 90.00 degrees
Space group I4/mmm (No. 139)
Inequivalent atoms, fractional coordinates:
1 Mg 0.0000 0.0000 0.0000 (multiplicity 2)
2 Pb 0.0000 0.5000 0.2500 (multiplicity 4)
3 Cl 0.0000 0.0000 0.5000 (multiplicity 2)

Results
ΔE_f (raw): -0.157 eV per atom
Distance to the lowest polymorph of the same formula: 1.356 eV/f.u.

The following is a PBE calculation of crystalline MgPbCl2 at its relaxed geometry, from the Alexandria database.

Cell lengths 7.4222, 7.4222, 7.4222 Å; angles 90.00, 90.00, 90.00 degrees
Space group F-43m (No. 216)
Inequivalent atoms, fractional coordinates:
1 Mg 0.0000 0.0000 0.0000 (multiplicity 4)
2 Pb 0.2500 0.2500 0.2500 (multiplicity 4)
3 Cl 0.0000 0.0000 0.5000 (multiplicity 4)
4 Cl 0.2500 0.2500 0.7500 (multiplicity 4)

Results
ΔE_f (raw): -0.382 eV per atom
Distance to the lowest polymorph of the same formula: 3.454 eV/f.u.

The following is a PBE calculation of crystalline MgPbCl4 at its relaxed geometry, from the Alexandria database.

Cell lengths 8.5085, 8.5085, 8.5085 Å; angles 90.00, 90.00, 90.00 degrees
Space group F-43m (No. 216)
Inequivalent atoms, fractional coordinates:
1 Mg 0.0000 0.0000 0.0000 (multiplicity 4)
2 Pb 0.2500 0.2500 0.7500 (multiplicity 4)
3 Cl 0.1261 0.1261 0.3739 (multiplicity 16)

Results
ΔE_f (raw): 0.003 eV per atom
Distance to the lowest polymorph of the same formula: 8.933 eV/f.u.

The following is a PBE calculation of crystalline MgPb2Cl at its relaxed geometry, from the Alexandria database.

Cell lengths 12.0871, 3.5044, 5.9583 Å; angles 90.00, 119.52, 90.00 degrees
Space group Cm (No. 8)
Inequivalent atoms, fractional coordinates:
1 Mg 0.0000 0.0000 0.0000 (multiplicity 2)
2 Pb 0.0366 0.5000 0.5332 (multiplicity 2)
3 Pb 0.2426 0.5000 0.2363 (multiplicity 2)
4 Cl 0.3356 0.0000 0.8295 (multiplicity 2)

Results
ΔE_f (raw): -0.401 eV per atom
Distance to the lowest polymorph of the same formula: 0.379 eV/f.u.

The following is a PBE calculation of crystalline MgPbCl2 at its relaxed geometry, from the Alexandria database.

Cell lengths 5.7610, 5.7610, 6.4871 Å; angles 90.00, 90.00, 90.00 degrees
Space group I4/mmm (No. 139)
Inequivalent atoms, fractional coordinates:
1 Mg 0.0000 0.0000 0.0000 (multiplicity 2)
2 Pb 0.0000 0.0000 0.5000 (multiplicity 2)
3 Cl 0.0000 0.5000 0.0000 (multiplicity 4)

Results
ΔE_f (raw): -0.754 eV per atom
Distance to the lowest polymorph of the same formula: 1.968 eV/f.u.

The following is a PBE calculation of crystalline MgPb2Cl at its relaxed geometry, from the Alexandria database.

Cell lengths 3.9082, 5.7008, 9.8970 Å; angles 90.00, 90.00, 90.00 degrees
Space group Cmmm (No. 65)
Inequivalent atoms, fractional coordinates:
1 Mg 0.0000 0.0000 0.0000 (multiplicity 2)
2 Pb 0.0000 0.5000 0.2588 (multiplicity 4)
3 Cl 0.0000 0.0000 0.5000 (multiplicity 2)

Results
ΔE_f (raw): -0.222 eV per atom
Distance to the lowest polymorph of the same formula: 1.094 eV/f.u.

The following is a PBE calculation of crystalline MgPb2Cl at its relaxed geometry, from the Alexandria database.

Cell lengths 7.5781, 7.5781, 7.5781 Å; angles 90.00, 90.00, 90.00 degrees
Space group Fm-3m (No. 225)
Inequivalent atoms, fractional coordinates:
1 Mg 0.0000 0.0000 0.0000 (multiplicity 4)
2 Pb 0.2500 0.2500 0.2500 (multiplicity 8)
3 Cl 0.0000 0.0000 0.5000 (multiplicity 4)

Results
ΔE_f (raw): -0.098 eV per atom
Distance to the lowest polymorph of the same formula: 1.593 eV/f.u.

The following is a PBE calculation of crystalline MgPbCl4 at its relaxed geometry, from the Alexandria database.

Cell lengths 14.5482, 3.9459, 7.1502 Å; angles 90.00, 118.19, 90.00 degrees
Space group C2/m (No. 12)
Inequivalent atoms, fractional coordinates:
1 Mg 0.0000 0.0000 0.0000 (multiplicity 2)
2 Pb 0.0000 0.5000 0.5000 (multiplicity 2)
3 Cl 0.1074 0.5000 0.2429 (multiplicity 4)
4 Cl 0.1144 0.0000 0.8248 (multiplicity 4)

Results
ΔE_f (raw): -1.462 eV per atom
Distance to the lowest polymorph of the same formula: 0.141 eV/f.u.

The following is a PBE calculation of crystalline MgPb2Cl2 at its relaxed geometry, from the Alexandria database.

Cell lengths 7.8050, 7.8050, 5.2251 Å; angles 90.00, 90.00, 90.00 degrees
Space group P4/mbm (No. 127)
Inequivalent atoms, fractional coordinates:
1 Mg 0.0000 0.0000 0.0000 (multiplicity 2)
2 Pb 0.1492 0.3508 0.0000 (multiplicity 4)
3 Cl 0.2488 0.7488 0.5000 (multiplicity 4)

Results
ΔE_f (raw): -0.416 eV per atom
Distance to the lowest polymorph of the same formula: 0.000 eV/f.u.

The following is a PBE calculation of crystalline MgPbCl4 at its relaxed geometry, from the Alexandria database.

Cell lengths 7.4562, 8.8102, 11.5074 Å; angles 90.00, 90.00, 90.00 degrees
Space group Imma (No. 74)
Inequivalent atoms, fractional coordinates:
1 Mg 0.2500 0.2500 0.2500 (multiplicity 4)
2 Pb 0.0000 0.0000 0.0000 (multiplicity 4)
3 Cl 0.0000 0.0524 0.2510 (multiplicity 8)
4 Cl 0.2460 0.2500 0.4708 (multiplicity 8)

Results
ΔE_f (raw): -1.485 eV per atom
Distance to the lowest polymorph of the same formula: 0.000 eV/f.u.

The following is a PBE calculation of crystalline MgPb2Cl6 at its relaxed geometry, from the Alexandria database.

Cell lengths 6.5452, 6.5452, 12.6059 Å; angles 90.00, 90.00, 90.00 degrees
Space group P4_2/mnm (No. 136)
Inequivalent atoms, fractional coordinates:
1 Mg 0.0000 0.0000 0.0000 (multiplicity 2)
2 Pb 0.0000 0.0000 0.3340 (multiplicity 4)
3 Cl 0.1854 0.1854 0.1481 (multiplicity 8)
4 Cl 0.2211 0.2211 0.5000 (multiplicity 4)

Results
ΔE_f (raw): -1.360 eV per atom

The following is a PBE calculation of crystalline MgPbCl2 at its relaxed geometry, from the Alexandria database.

Cell lengths 3.3753, 6.6808, 9.5421 Å; angles 90.00, 90.00, 90.00 degrees
Space group Immm (No. 71)
Inequivalent atoms, fractional coordinates:
1 Mg 0.0000 0.0000 0.0000 (multiplicity 2)
2 Pb 0.0000 0.0000 0.5000 (multiplicity 2)
3 Cl 0.0000 0.5000 0.3138 (multiplicity 4)

Results
ΔE_f (raw): -0.932 eV per atom
Distance to the lowest polymorph of the same formula: 1.255 eV/f.u.

The following is a PBE calculation of crystalline MgPb2Cl at its relaxed geometry, from the Alexandria database.

Cell lengths 7.9698, 7.9516, 3.3669 Å; angles 90.00, 92.83, 90.00 degrees
Space group C2/m (No. 12)
Inequivalent atoms, fractional coordinates:
1 Mg 0.0000 0.0000 0.0000 (multiplicity 2)
2 Pb 0.2500 0.2500 0.5000 (multiplicity 4)
3 Cl 0.0000 0.5000 0.0000 (multiplicity 2)

Results
ΔE_f (raw): -0.258 eV per atom
Distance to the lowest polymorph of the same formula: 0.954 eV/f.u.

The following is a PBE calculation of crystalline MgPb2Cl at its relaxed geometry, from the Alexandria database.

Cell lengths 3.5241, 5.6445, 11.2322 Å; angles 90.00, 90.00, 90.00 degrees
Space group Immm (No. 71)
Inequivalent atoms, fractional coordinates:
1 Mg 0.0000 0.0000 0.0000 (multiplicity 2)
2 Pb 0.0000 0.5000 0.2607 (multiplicity 4)
3 Cl 0.0000 0.0000 0.5000 (multiplicity 2)

Results
ΔE_f (raw): -0.224 eV per atom
Distance to the lowest polymorph of the same formula: 1.088 eV/f.u.

The following is a PBE calculation of crystalline MgPb2Cl at its relaxed geometry, from the Alexandria database.

Cell lengths 3.6654, 5.5484, 5.8356 Å; angles 90.00, 107.05, 90.00 degrees
Space group Pm (No. 6)
Inequivalent atoms, fractional coordinates:
1 Mg 0.0000 0.0000 0.0000 (multiplicity 1)
2 Pb 0.2795 0.0000 0.5421 (multiplicity 1)
3 Pb 0.7540 0.5000 0.5018 (multiplicity 1)
4 Cl 0.9975 0.5000 0.0138 (multiplicity 1)

Results
ΔE_f (raw): -0.387 eV per atom
Distance to the lowest polymorph of the same formula: 0.438 eV/f.u.

The following is a PBE calculation of crystalline MgPbCl2 at its relaxed geometry, from the Alexandria database.

Cell lengths 3.2116, 3.2116, 11.9661 Å; angles 90.00, 90.00, 90.00 degrees
Space group P4/mmm (No. 123)
Inequivalent atoms, fractional coordinates:
1 Mg 0.0000 0.0000 0.0000 (multiplicity 1)
2 Pb 0.0000 0.0000 0.5000 (multiplicity 1)
3 Cl 0.5000 0.5000 0.1258 (multiplicity 2)

Results
ΔE_f (raw): -0.902 eV per atom
Distance to the lowest polymorph of the same formula: 1.376 eV/f.u.

The following is a PBE calculation of crystalline Mg3PbCl8 at its relaxed geometry, from the Alexandria database.

Cell lengths 13.4320, 7.7596, 7.9335 Å; angles 90.00, 125.42, 90.00 degrees
Space group C2/m (No. 12)
Inequivalent atoms, fractional coordinates:
1 Mg 0.0000 0.0000 0.0000 (multiplicity 2)
2 Mg 0.2500 0.2500 0.0000 (multiplicity 4)
3 Pb 0.0000 0.5000 0.0000 (multiplicity 2)
4 Cl 0.0182 0.2231 0.7835 (multiplicity 8)
5 Cl 0.2389 0.0000 0.2116 (multiplicity 4)
6 Cl 0.2413 0.0000 0.7838 (multiplicity 4)

Results
ΔE_f (raw): -1.635 eV per atom

The following is a PBE calculation of crystalline MgPb2Cl at its relaxed geometry, from the Alexandria database.

Cell lengths 3.4469, 5.4097, 6.0608 Å; angles 90.00, 99.15, 90.00 degrees
Space group P2/m (No. 10)
Inequivalent atoms, fractional coordinates:
1 Mg 0.0000 0.0000 0.0000 (multiplicity 1)
2 Pb 0.2762 0.5000 0.7509 (multiplicity 2)
3 Cl 0.5000 0.0000 0.5000 (multiplicity 1)

Results
ΔE_f (raw): -0.222 eV per atom
Distance to the lowest polymorph of the same formula: 1.095 eV/f.u.

The following is a PBE calculation of crystalline MgPb2Cl at its relaxed geometry, from the Alexandria database.

Cell lengths 3.3868, 3.3868, 10.0349 Å; angles 90.00, 90.00, 90.00 degrees
Space group P4mm (No. 99)
Inequivalent atoms, fractional coordinates:
1 Mg 0.0000 0.0000 0.0000 (multiplicity 1)
2 Pb 0.0000 0.0000 0.4895 (multiplicity 1)
3 Pb 0.5000 0.5000 0.2314 (multiplicity 1)
4 Cl 0.5000 0.5000 0.8657 (multiplicity 1)

Results
ΔE_f (raw): -0.462 eV per atom
Distance to the lowest polymorph of the same formula: 0.137 eV/f.u.

The following is a PBE calculation of crystalline Mg2Pb2Cl7 at its relaxed geometry, from the Alexandria database.

Cell lengths 9.3267, 13.4063, 6.1395 Å; angles 90.00, 103.60, 90.00 degrees
Space group C2/m (No. 12)
Inequivalent atoms, fractional coordinates:
1 Mg 0.2247 0.0000 0.3841 (multiplicity 4)
2 Pb 0.0000 0.3161 0.0000 (multiplicity 4)
3 Cl 0.0000 0.0000 0.5000 (multiplicity 2)
4 Cl 0.0929 0.5000 0.2718 (multiplicity 4)
5 Cl 0.2318 0.1466 0.1742 (multiplicity 8)

Results
ΔE_f (raw): -1.316 eV per atom

The following is a PBE calculation of crystalline MgPb2Cl at its relaxed geometry, from the Alexandria database.

Cell lengths 3.3634, 5.1470, 6.3307 Å; angles 90.00, 90.00, 90.00 degrees
Space group Pmmm (No. 47)
Inequivalent atoms, fractional coordinates:
1 Mg 0.0000 0.0000 0.0000 (multiplicity 1)
2 Pb 0.5000 0.5000 0.2484 (multiplicity 2)
3 Cl 0.0000 0.0000 0.5000 (multiplicity 1)

Results
ΔE_f (raw): -0.226 eV per atom
Distance to the lowest polymorph of the same formula: 1.080 eV/f.u.

The following is a PBE calculation of crystalline MgPbCl2 at its relaxed geometry, from the Alexandria database.

Cell lengths 3.8743, 3.8743, 27.4135 Å; angles 90.00, 90.00, 120.00 degrees
Space group R3m (No. 160, hexagonal axes)
Inequivalent atoms, fractional coordinates:
1 Mg 0.0000 0.0000 0.0000 (multiplicity 3)
2 Pb 0.0000 0.0000 0.2380 (multiplicity 3)
3 Cl 0.0000 0.0000 0.5039 (multiplicity 3)
4 Cl 0.0000 0.0000 0.7124 (multiplicity 3)

Results
ΔE_f (raw): -0.872 eV per atom
Distance to the lowest polymorph of the same formula: 1.496 eV/f.u.

The following is a PBE calculation of crystalline MgPb2Cl at its relaxed geometry, from the Alexandria database.

Cell lengths 3.5057, 3.5057, 30.7627 Å; angles 90.00, 90.00, 120.00 degrees
Space group R-3m (No. 166, hexagonal axes)
Inequivalent atoms, fractional coordinates:
1 Mg 0.0000 0.0000 0.0000 (multiplicity 3)
2 Pb 0.0000 0.0000 0.2455 (multiplicity 6)
3 Cl 0.0000 0.0000 0.5000 (multiplicity 3)

Results
ΔE_f (raw): -0.242 eV per atom
Distance to the lowest polymorph of the same formula: 1.015 eV/f.u.

Listing theoretical density for the structures above in their given order: 3.8, 4.2, 4.9, 3.5, 4.9, 7.1, 4.9, 4.0, 7.2, 4.7, 7.1, 7.2, 3.4, 5.3, 3.3, 4.0, 4.7, 7.4, 7.0, 6.9, 4.1, 2.8, 7.1, 6.8, 3.2, 7.2, 4.2, 7.2 g/cm3.
Listing total magnetization for the structures above in their given order: 0.000, 0.000, 0.000, 0.000, 0.000, 0.000, 0.000, 0.220, 0.000, 0.000, 0.000, 0.000, 0.000, 0.000, 0.000, 0.000, 0.000, 0.000, 0.000, 0.000, 0.000, 0.000, 0.000, 0.000, 0.093, 0.000, 0.000, 0.000 μB per atom.
Listing final energy for the structures above in their given order: -3.49, -3.14, -2.94, -3.31, -2.77, -2.87, -2.63, -2.11, -3.12, -3.00, -2.94, -2.81, -3.58, -2.96, -3.60, -3.59, -3.18, -2.97, -2.94, -3.10, -3.15, -3.57, -2.94, -3.18, -3.46, -2.94, -3.12, -2.96 eV/atom.